Entry 1:
Material: BaDy2In
Method: DFT, GGA-PBE
State: optimized geometry

The structure in extended XYZ format:
```
4
Lattice="3.716 0.000 0.000 0.000 3.716 0.000 0.000 0.000 10.108" Properties=species:S:1:pos:R:3 pbc="T T T"
Ba 0.000 0.000 0.000
Dy 1.858 1.858 3.116
Dy 1.858 1.858 6.992
In 0.000 0.000 5.054
```

Results
ΔE_f   -0.097 eV per atom
Volume   34.89 Å³/atom
Total DFT energy (no corrections)   -3.5638 eV per atom

Entry 2:
Material: BaDy2In
Method: DFT, GGA-PBE
State: optimized geometry

The structure in extended XYZ format:
```
12
Lattice="3.681 0.000 0.000 -1.841 3.188 0.000 0.000 0.000 36.181" Properties=species:S:1:pos:R:3 pbc="T T T"
Ba 0.000 0.000 0.000
Ba 0.000 2.125 24.121
Ba 1.841 1.063 12.060
Dy 0.000 0.000 3.656
Dy 0.000 0.000 32.526
Dy 0.000 2.125 20.465
Dy 0.000 2.125 27.777
Dy 1.841 1.063 8.405
Dy 1.841 1.063 15.716
In 0.000 0.000 18.091
In 0.000 2.125 6.030
In 1.841 1.063 30.151
```

Results
ΔE_f   0.088 eV per atom
Volume   35.39 Å³/atom
Total DFT energy (no corrections)   -3.3784 eV per atom

Entry 3:
Material: BaNaDyIn
Method: DFT, GGA-PBE
State: optimized geometry

The structure in extended XYZ format:
```
16
Lattice="8.178 0.000 0.000 0.000 8.178 0.000 0.000 0.000 8.178" Properties=species:S:1:pos:R:3 pbc="T T T"
Ba 0.000 0.000 0.000
Ba 0.000 4.089 4.089
Ba 4.089 0.000 4.089
Ba 4.089 4.089 0.000
Na 2.044 2.044 6.133
Na 2.044 6.133 2.044
Na 6.133 2.044 2.044
Na 6.133 6.133 6.133
Dy 0.000 0.000 4.089
Dy 0.000 4.089 0.000
Dy 4.089 0.000 0.000
Dy 4.089 4.089 4.089
In 2.044 2.044 2.044
In 2.044 6.133 6.133
In 6.133 2.044 6.133
In 6.133 6.133 2.044
```

Results
ΔE_f   -0.052 eV per atom
Volume   34.18 Å³/atom
Total DFT energy (no corrections)   -2.6979 eV per atom

Entry 4:
Material: BaDy4In3O12
Method: DFT, GGA-PBE
State: optimized geometry

The structure in extended XYZ format:
```
20
Lattice="-4.217 4.217 4.217 4.217 -4.217 4.217 4.217 4.217 -4.217" Properties=species:S:1:pos:R:3 pbc="T T T"
Ba 0.000 0.000 0.000
Dy 2.109 2.109 -2.109
Dy 2.109 -2.109 2.109
Dy -2.109 2.109 2.109
Dy 2.109 2.109 2.109
In 4.217 0.000 0.000
In 0.000 4.217 0.000
In 0.000 0.000 4.217
O 4.217 -1.568 2.781
O 2.649 1.436 0.000
O 5.785 1.436 0.000
O 2.781 4.217 -1.568
O 1.436 0.000 2.649
O 0.000 2.649 1.436
O 4.217 1.568 2.781
O 2.781 4.217 1.568
O 1.436 0.000 5.785
O -1.568 2.781 4.217
O 1.568 2.781 4.217
O 0.000 5.785 1.436
```

Results
Volume   15.00 Å³/atom
ΔE_f (raw)   -2.512 eV per atom
Total DFT energy (no corrections)   -6.9140 eV per atom

Entry 5:
Material: Ba3DyIn2O8
Method: DFT, GGA-PBE
State: optimized geometry

The structure in extended XYZ format:
```
14
Lattice="6.192 0.000 0.000 -3.096 5.363 0.000 0.000 0.000 7.873" Properties=species:S:1:pos:R:3 pbc="T T T"
Ba 0.000 0.000 0.000
Ba 0.000 3.575 4.992
Ba 3.096 1.788 2.881
Dy 0.000 0.000 3.936
In 0.000 3.575 1.547
In 3.096 1.788 6.326
O 0.000 1.756 2.552
O -1.575 4.485 2.552
O 1.521 0.878 5.321
O 0.000 3.575 7.426
O 3.096 1.788 0.447
O 1.575 4.485 2.552
O 4.671 0.878 5.321
O 3.096 3.606 5.321
```

Results
Volume   18.68 Å³/atom
ΔE_f (raw)   -2.189 eV per atom
Total DFT energy (no corrections)   -6.1547 eV per atom

Entry 6:
Material: BaDyInPb
Method: DFT, GGA-PBE
State: optimized geometry

The structure in extended XYZ format:
```
16
Lattice="8.086 0.000 0.000 0.000 8.086 0.000 0.000 0.000 8.086" Properties=species:S:1:pos:R:3 pbc="T T T"
Ba 0.000 0.000 0.000
Ba 0.000 4.043 4.043
Ba 4.043 0.000 4.043
Ba 4.043 4.043 0.000
Dy 0.000 0.000 4.043
Dy 0.000 4.043 0.000
Dy 4.043 0.000 0.000
Dy 4.043 4.043 4.043
In 2.021 2.021 2.021
In 2.021 6.064 6.064
In 6.064 2.021 6.064
In 6.064 6.064 2.021
Pb 2.021 2.021 6.064
Pb 2.021 6.064 2.021
Pb 6.064 2.021 2.021
Pb 6.064 6.064 6.064
```

Results
ΔE_f   -0.325 eV per atom
Volume   33.04 Å³/atom
Total DFT energy (no corrections)   -3.5680 eV per atom

Listing magnetization for the structures above in their given order: 0.00, 0.13, 0.00, 1.09, 1.14, 0.00 μB/f.u..